DFT (PBE-GGA) results for TbPm2Nd after structural relaxation.

Properties
Symmetry: No. 38
Spin magnetization: 0.0 Bohr magnetons per cell
Formation enthalpy at 0 K: 0.05 eV per atom

Cell: 3.5803 5.6619 6.9550 Å, 90.00 104.92 90.00°
With the nearest neighbours (Å) after each atom.
Atoms (fractional coordinates):
Tb 0.4474 0.0000 0.8948  7 Pm 3.50-3.68, 2 Tb 3.58, 4 Nd 3.86
Pm 0.0611 0.5000 0.1223  4 Pm 3.30-3.58, 1 Nd 3.45, 4 Tb 3.68
Pm 0.1867 0.0000 0.3734  4 Pm 3.30-3.58, 3 Tb 3.50-3.68
Nd 0.8048 0.5000 0.6096  7 Pm 3.45-3.73, 2 Nd 3.58, 4 Tb 3.86